# 1
! Zr2ScAs SCAN single point on PBEsol structure; values from VASP
&SYSTEM
  ibrav = 0, nat = 4, ntyp = 3
/
ATOMIC_SPECIES
As 74.92 As.upf
Sc 44.96 Sc.upf
Zr 91.22 Zr.upf
CELL_PARAMETERS angstrom
3.509 0.000 0.000
1.755 3.039 0.000
1.755 1.013 8.371
ATOMIC_POSITIONS angstrom
As 3.509 2.026 4.185
Sc 0.000 0.000 0.000
Zr 5.264 3.039 5.863
Zr 1.755 1.013 2.508
! **ΔH_f (0 K)**: -0.49 eV per atom
! **DOS(E_F)**: 3.35 states/eV per cell
! **E_tot**: -97.805 eV per cell
! **Crystal system**: trigonal

***

# 2
! ZrScAs2 SCAN single point on PBEsol structure; values from VASP
&SYSTEM
  ibrav = 0, nat = 4, ntyp = 3
/
ATOMIC_SPECIES
As 74.92 As.upf
Sc 44.96 Sc.upf
Zr 91.22 Zr.upf
CELL_PARAMETERS angstrom
3.806 0.000 0.000
1.903 3.296 0.000
1.903 1.099 6.279
ATOMIC_POSITIONS angstrom
As 5.709 3.296 4.689
As 1.903 1.099 1.590
Sc 3.806 2.197 3.139
Zr 0.000 0.000 0.000
! **ΔH_f (0 K)**: -1.40 eV per atom
! **DOS(E_F)**: 1.51 states/eV per cell
! **E_tot**: -90.915 eV per cell
! **Crystal system**: trigonal